Density functional theory data (PBE-GGA) for CsLi3Hf after structural relaxation.

```
CsLi3Hf
1.0
-1.035 -3.675 -3.452
-2.850 -2.481 3.496
-4.160 2.615 -1.536
Li Cs Hf
3 1 1
Direct
0.000 0.000 0.500
0.500 0.000 0.000
0.000 0.500 0.000
0.000 0.000 0.000
0.500 0.500 0.500
```

Calculated formation energy (eV per atom): 1.348


Density functional theory data (PBE-GGA) for CsLiHfNb2 after structural relaxation.

```
CsLiHfNb2
1.0
-0.216 3.721 -3.438
2.484 -3.118 -3.531
-4.480 -1.747 -1.609
Nb Hf Cs Li
2 1 1 1
Direct
0.500 0.000 0.000
0.000 0.000 0.500
0.000 0.500 0.000
0.000 0.000 0.000
0.500 0.500 0.500
```

Calculated formation energy (eV per atom): 2.476


Density functional theory data (PBE-GGA) for CsLiHf2Ni after structural relaxation.

```
CsLiHf2Ni
1.0
4.854 0.000 0.000
0.000 6.649 0.000
0.000 0.000 4.854
Hf Ni Li Cs
2 1 1 1
Direct
0.000 0.000 0.500
0.500 0.000 0.000
0.000 0.000 0.000
0.500 0.500 0.500
0.000 0.500 0.000
```

Calculated formation energy (eV per atom): 0.855


Density functional theory data (PBE-GGA) for Cs2Li2HfO4 after structural relaxation.

```
Cs2Li2HfO4
1.0
-1.195 -0.309 3.192
0.654 -6.092 -2.180
6.105 2.128 2.492
Li Hf O Cs
2 1 4 2
Direct
0.322 0.643 0.016
0.678 0.357 0.984
0.000 0.000 0.000
0.486 0.972 0.187
0.514 0.028 0.813
0.178 0.355 0.108
0.822 0.645 0.892
0.855 0.709 0.418
0.145 0.291 0.582
```

Total DFT energy (no corrections) (eV/atom): -6.107